## A
Compound: Sr3Y
Source: Alexandria
Functional: PBE
Structure: optimized geometry

Values from the calculation:
M_tot: 0.1738 μB/atom

a b c (Å): 3.9228 3.7763 12.8357
angles (deg): 90.00 90.00 90.00
Last column: nearest neighbours and their distance in Å.
Fractional positions:
Sr (0.0000, 0.5000, 0.4637)  6 Sr 3.78-4.10
Sr (0.5000, 0.0000, 0.7189)  2 Y 3.75, 4 Sr 3.78-3.92
Sr (0.5000, 0.5000, 0.1828)  6 Sr 3.78-4.10, 4 Y 3.88
Y (0.0000, 0.0000, 0.9679)  6 Sr 3.75-3.88, 4 Y 3.78-3.92



## B
Compound: Sr3Y
Source: Alexandria
Functional: PBE
Structure: optimized geometry

Values from the calculation:
M_tot: 0.1887 μB/atom

a b c (Å): 8.1095 8.1095 6.5664
angles (deg): 90.00 90.00 120.00
Last column: nearest neighbours and their distance in Å.
Fractional positions:
Y (0.3333, 0.6667, 0.2500)  12 Sr 3.99-4.06
Y (0.6667, 0.3333, 0.7500)  12 Sr 3.99-4.06
Sr (0.1718, 0.3437, 0.7500)  8 Sr 3.93-4.18, 4 Y 3.99-4.06
Sr (0.6563, 0.8282, 0.7500)  8 Sr 3.93-4.18, 4 Y 3.99-4.06
Sr (0.1718, 0.8282, 0.7500)  8 Sr 3.93-4.18, 4 Y 3.99-4.06
Sr (0.8282, 0.1718, 0.2500)  8 Sr 3.93-4.18, 4 Y 3.99-4.06
Sr (0.8282, 0.6563, 0.2500)  8 Sr 3.93-4.18, 4 Y 3.99-4.06
Sr (0.3437, 0.1718, 0.2500)  8 Sr 3.93-4.18, 4 Y 3.99-4.06



It is A that is the least stable of them.



## A
Compound: Sr3Y
Source: Alexandria
Functional: PBE
Structure: optimized geometry

Values from the calculation:
M_tot: 0.2594 μB/atom

a b c (Å): 7.0625 7.0625 4.0003
angles (deg): 90.00 90.00 110.26
Last column: nearest neighbours and their distance in Å.
Fractional positions:
Sr (0.0000, 0.5000, 0.5000)  8 Sr 4.00-4.06, 4 Y 4.06
Sr (0.5000, 0.5000, 0.0000)  10 Sr 4.00-4.06, 2 Y 4.04
Sr (0.5000, 0.0000, 0.5000)  8 Sr 4.00-4.06, 4 Y 4.06
Y (0.0000, 0.0000, 0.0000)  2 Y 4.00, 10 Sr 4.04-4.06



## B
Compound: Sr3Y
Source: Alexandria
Functional: PBE
Structure: optimized geometry

Values from the calculation:
M_tot: 0.0001 μB/atom

a b c (Å): 7.4713 7.4713 7.4713
angles (deg): 117.09 117.09 117.09
Last column: nearest neighbours and their distance in Å.
Fractional positions:
Y (0.0000, 0.5000, 0.5000)  2 Y 3.86, 6 Sr 3.90
Sr (0.5000, 0.5000, 0.0000)  6 Sr 3.86-3.90, 2 Y 3.90
Sr (0.0000, 0.0000, 0.0000)  6 Sr 3.86-3.90, 2 Y 3.90
Sr (0.5000, 0.0000, 0.5000)  6 Sr 3.86-3.90, 2 Y 3.90



## C
Compound: Sr3Y
Source: Alexandria
Functional: PBE
Structure: optimized geometry

Values from the calculation:
M_tot: 0.2179 μB/atom

a b c (Å): 7.0026 7.0026 7.0026
angles (deg): 131.79 131.79 70.56
Last column: nearest neighbours and their distance in Å.
Fractional positions:
Y (0.0000, 0.0000, 0.0000)  12 Sr 4.04
Sr (0.2500, 0.7500, 0.5000)  4 Y 4.04, 8 Sr 4.04
Sr (0.5000, 0.5000, 0.0000)  8 Sr 4.04, 4 Y 4.04
Sr (0.7500, 0.2500, 0.5000)  8 Sr 4.04, 4 Y 4.04



It is C that is the least stable of them.



## A
Compound: SrY2
Source: Alexandria
Functional: PBE
Structure: optimized geometry

Values from the calculation:
M_tot: 0.0000 μB/atom

a b c (Å): 6.9737 6.9737 6.9737
angles (deg): 60.00 60.00 60.00
Last column: nearest neighbours and their distance in Å.
Fractional positions:
Y (0.1250, 0.1250, 0.1250)  6 Y 3.49
Y (0.1250, 0.6250, 0.1250)  6 Y 3.49
Y (0.6250, 0.1250, 0.1250)  6 Y 3.49
Y (0.1250, 0.1250, 0.6250)  6 Y 3.49
Sr (0.5000, 0.5000, 0.5000)  12 Y 4.09, 4 Sr 4.27
Sr (0.7500, 0.7500, 0.7500)  12 Y 4.09, 4 Sr 4.27



## B
Compound: SrY2
Source: Alexandria
Functional: PBE
Structure: optimized geometry

Values from the calculation:
M_tot: 0.4507 μB/atom

a b c (Å): 18.0842 18.0842 18.0842
angles (deg): 168.61 168.61 16.13
Last column: nearest neighbours and their distance in Å.
Fractional positions:
Y (0.5846, 0.5846, 0.0000)  6 Y 3.41-3.59
Y (0.3346, 0.8346, 0.5000)  6 Y 3.41-3.59
Y (0.1654, 0.6654, 0.5000)  6 Y 3.41-3.59
Y (0.4154, 0.4154, 0.0000)  6 Y 3.41-3.59
Sr (0.0000, 0.0000, 0.0000)  4 Sr 3.59, 8 Y 3.95
Sr (0.7500, 0.2500, 0.5000)  4 Sr 3.59, 8 Y 3.95



It is B that is the least stable of them.